Here is a relaxed MnAlCd2O4 crystal from the Alexandria database. Energies are from PBE+U.

Structure (extended XYZ):
```
8
Lattice="-2.403 2.403 5.051 2.403 -2.403 5.051 2.403 2.403 -5.051" Properties=species:S:1:pos:R:3 pbc="T T T"
Mn 0.000 0.000 0.000
Al 0.000 0.000 5.051
Cd 2.403 0.000 2.526
Cd 0.000 2.403 2.526
O 1.336 1.336 -0.997
O 1.067 -1.067 6.048
O 1.067 1.067 4.054
O -1.067 1.067 6.048
```

Properties
* final energy: -5.7492 eV per atom
* crystal system: tetragonal
* calculated density: 5.3 g cm⁻³
* SG: No. 121
* total moment: 5.04 μB/cell